[1]
Below is a relaxed Ca3Cu3Si crystal, with properties calculated at the PBE-GGA level.

a = 5.7727 Å, b = 5.7727 Å, c = 14.4335 Å
α = 108.41°, β = 108.41°, γ = 42.86°
With the nearest neighbours (Å) after each atom.
Positions (direct):
Ca: 0.0279 0.0279 0.3876  5 Cu 3.01-3.10, 4 Si 3.06-3.33
Ca: 0.1062 0.1062 0.9214  7 Cu 3.02-3.21
Ca: 0.2506 0.2506 0.2329  6 Cu 3.01-3.22, 2 Si 3.11
Ca: 0.7494 0.7494 0.7671  6 Cu 3.01-3.22, 2 Si 3.11
Ca: 0.8938 0.8938 0.0786  7 Cu 3.02-3.21
Ca: 0.9721 0.9721 0.6124  5 Cu 3.01-3.10, 4 Si 3.06-3.33
Cu: 0.3256 0.3256 0.4613  3 Si 2.39-2.51
Cu: 0.4051 0.4051 0.9218  2 Cu 2.48-2.49
Cu: 0.4474 0.4474 0.7625  1 Si 2.44, 1 Cu 2.49
Cu: 0.5526 0.5526 0.2375  1 Si 2.44, 1 Cu 2.49
Cu: 0.5949 0.5949 0.0782  2 Cu 2.48-2.49
Cu: 0.6744 0.6744 0.5387  3 Si 2.39-2.51
Si: 0.2567 0.2567 0.6111  4 Cu 2.39-2.51
Si: 0.7433 0.7433 0.3889  4 Cu 2.39-2.51

Summary:
ΔE_f (raw) (eV/atom): -0.244
Calculated density (g cm⁻³): 3.7
DOS(E_F) (states/eV/f.u.): 3.0



[2]
Below is a relaxed Cs4Pb2I crystal, with properties calculated at the PBE-GGA level.

a = 6.9678 Å, b = 6.9678 Å, c = 21.8217 Å
α = 90.00°, β = 90.00°, γ = 90.00°
With the nearest neighbours (Å) after each atom.
Positions (direct):
Cs: 0.0000 0.0000 0.1842  1 Pb 3.80
Cs: 0.0000 0.0000 0.8158  1 Pb 3.80
Cs: 0.0000 0.5000 0.0000  2 I 3.48
Cs: 0.0000 0.5000 0.5000  2 I 3.48
Cs: 0.5000 0.0000 0.0000  2 I 3.48
Cs: 0.5000 0.0000 0.5000  2 I 3.48
Cs: 0.5000 0.5000 0.3158  1 Pb 3.80
Cs: 0.5000 0.5000 0.6842  1 Pb 3.80
Pb: 0.0000 0.0000 0.3583  1 I 3.09
Pb: 0.0000 0.0000 0.6417  1 I 3.09
Pb: 0.5000 0.5000 0.1417  1 I 3.09
Pb: 0.5000 0.5000 0.8583  1 I 3.09
I: 0.0000 0.0000 0.5000  2 Pb 3.09
I: 0.5000 0.5000 0.0000  2 Pb 3.09

Summary:
ΔE_f (raw) (eV/atom): -0.041
Calculated density (g cm⁻³): 3.4
DOS(E_F) (states/eV/f.u.): 7.9



[3]
Below is a relaxed CaAc3Pt4 crystal, with properties calculated at the PBE-GGA level.

a = 6.1300 Å, b = 6.1300 Å, c = 6.1300 Å
α = 90.00°, β = 90.00°, γ = 90.00°
With the nearest neighbours (Å) after each atom.
Positions (direct):
Ca: 0.0000 0.0000 0.0000  6 Pt 3.06
Ac: 0.0000 0.5000 0.5000  6 Pt 3.06
Ac: 0.5000 0.0000 0.5000  6 Pt 3.06
Ac: 0.5000 0.5000 0.0000  6 Pt 3.06
Pt: 0.0000 0.0000 0.5000  4 Ac 3.06, 2 Ca 3.06
Pt: 0.0000 0.5000 0.0000  4 Ac 3.06, 2 Ca 3.06
Pt: 0.5000 0.0000 0.0000  4 Ac 3.06, 2 Ca 3.06
Pt: 0.5000 0.5000 0.5000  6 Ac 3.06

Summary:
DFT formation energy (eV per atom): -1.055
Calculated density (g cm⁻³): 10.8
DOS(E_F) (states/eV/f.u.): 3.8



[4]
Below is a relaxed PmHo4Tm crystal, with properties calculated at the PBE-GGA level.

a = 6.5443 Å, b = 6.5443 Å, c = 6.5443 Å
α = 60.00°, β = 60.00°, γ = 60.00°
With the nearest neighbours (Å) after each atom.
Positions (direct):
Pm: 0.0000 0.0000 0.0000  12 Ho 3.84, 4 Tm 4.01
Ho: 0.3751 0.3751 0.3751  6 Ho 3.27-3.28
Ho: 0.3751 0.3751 0.8746  6 Ho 3.27-3.28
Ho: 0.3751 0.8746 0.3751  6 Ho 3.27-3.28
Ho: 0.8746 0.3751 0.3751  6 Ho 3.27-3.28
Tm: 0.7500 0.7500 0.7500  12 Ho 3.84, 4 Pm 4.01

Summary:
E above lowest polymorph (eV per atom): 0.219
DFT formation energy (eV per atom): 0.273
Calculated density (g cm⁻³): 8.2
DOS(E_F) (states/eV/f.u.): 10.5



[5]
Below is a relaxed Ag5SeCl4 crystal, with properties calculated at the PBE-GGA level.

a = 6.8812 Å, b = 6.8812 Å, c = 6.8812 Å
α = 99.21°, β = 99.21°, γ = 132.85°
With the nearest neighbours (Å) after each atom.
Positions (direct):
Ag: 0.0000 0.0000 0.0000  2 Se 2.75, 4 Cl 2.78
Ag: 0.2134 0.5970 0.8104  1 Se 2.70, 4 Cl 2.72-2.90
Ag: 0.4030 0.2134 0.6165  1 Se 2.70, 4 Cl 2.72-2.90
Ag: 0.5970 0.7866 0.3835  1 Se 2.70, 4 Cl 2.72-2.90
Ag: 0.7866 0.4030 0.1896  1 Se 2.70, 4 Cl 2.72-2.90
Se: 0.5000 0.5000 0.0000  6 Ag 2.70-2.75
Cl: 0.0748 0.3026 0.3774  6 Ag 2.72-3.03
Cl: 0.3026 0.9252 0.2278  6 Ag 2.72-3.03
Cl: 0.6974 0.0748 0.7722  6 Ag 2.72-3.03
Cl: 0.9252 0.6974 0.6226  6 Ag 2.72-3.03

Summary:
ΔE_f (raw) (eV/atom): -0.305
Calculated density (g cm⁻³): 5.8
DOS(E_F) (states/eV/f.u.): 6.6



[6]
Below is a relaxed LaDy6Tm5 crystal, with properties calculated at the PBE-GGA level.

a = 7.9107 Å, b = 7.9107 Å, c = 10.0267 Å
α = 90.00°, β = 90.00°, γ = 143.21°
With the nearest neighbours (Å) after each atom.
Positions (direct):
La: 0.0000 0.0000 0.0000  4 Tm 3.56, 8 Dy 3.57
Dy: 0.1671 0.8329 0.2530  7 Tm 3.51-3.56, 4 Dy 3.52-3.54, 1 La 3.57
Dy: 0.1671 0.8329 0.7470  7 Tm 3.51-3.56, 4 Dy 3.52-3.54, 1 La 3.57
Dy: 0.5000 0.5000 0.2543  6 Tm 3.51-3.60, 4 Dy 3.54, 2 La 3.57
Dy: 0.5000 0.5000 0.7457  6 Tm 3.51-3.60, 4 Dy 3.54, 2 La 3.57
Dy: 0.8329 0.1671 0.2530  7 Tm 3.51-3.56, 4 Dy 3.52-3.54, 1 La 3.57
Dy: 0.8329 0.1671 0.7470  7 Tm 3.51-3.56, 4 Dy 3.52-3.54, 1 La 3.57
Tm: 0.0000 0.0000 0.5000  8 Dy 3.51-3.53, 4 Tm 3.54
Tm: 0.3309 0.6691 0.0000  2 Tm 3.48, 8 Dy 3.53-3.60, 2 La 3.56
Tm: 0.3329 0.6671 0.5000  8 Dy 3.51-3.52, 4 Tm 3.53-3.54
Tm: 0.6671 0.3329 0.5000  8 Dy 3.51-3.52, 4 Tm 3.53-3.54
Tm: 0.6691 0.3309 0.0000  2 Tm 3.48, 8 Dy 3.53-3.60, 2 La 3.56

Summary:
DFT formation energy (eV per atom): 0.028
Calculated density (g cm⁻³): 8.7
DOS(E_F) (states/eV/f.u.): 16.8



[7]
Below is a relaxed La2NdTmP4 crystal, with properties calculated at the PBE-GGA level.

a = 7.2170 Å, b = 4.1713 Å, c = 7.2186 Å
α = 90.00°, β = 109.45°, γ = 90.00°
With the nearest neighbours (Å) after each atom.
Positions (direct):
La: 0.0000 0.0000 0.0000  6 P 3.02
La: 0.5000 0.5000 0.0000  6 P 2.96-2.97
Nd: 0.0000 0.5000 0.5000  6 P 2.93
Tm: 0.5000 0.0000 0.5000  6 P 2.88
P: 0.2531 0.0000 0.7411  1 Tm 2.88, 2 Nd 2.93, 3 La 2.97-3.02
P: 0.2601 0.5000 0.2629  2 Tm 2.88, 1 Nd 2.93, 3 La 2.96-3.02
P: 0.7399 0.5000 0.7371  2 Tm 2.88, 1 Nd 2.93, 3 La 2.96-3.02
P: 0.7469 0.0000 0.2589  1 Tm 2.88, 2 Nd 2.93, 3 La 2.97-3.02

Summary:
DFT formation energy (eV per atom): -1.553
Calculated density (g cm⁻³): 5.8
DOS(E_F) (states/eV/f.u.): 0.7



[8]
Below is a relaxed RbInTe crystal, with properties calculated at the PBE-GGA level.

a = 13.6918 Å, b = 4.4560 Å, c = 10.0736 Å
α = 90.00°, β = 126.89°, γ = 90.00°
With the nearest neighbours (Å) after each atom.
Positions (direct):
Rb: 0.0000 0.0000 0.0000  4 Te 3.67-3.79, 5 In 3.82-3.96
Rb: 0.0843 0.0000 0.6405  5 Te 3.65-3.90, 1 In 3.80
Rb: 0.5000 0.5000 0.0000  4 Te 3.67-3.79, 5 In 3.82-3.96
Rb: 0.5843 0.5000 0.6405  5 Te 3.65-3.90, 1 In 3.80
In: 0.2386 0.5000 0.3907  3 Te 2.99-3.14, 1 In 3.17
In: 0.2780 0.5000 0.1108  2 Te 3.06, 1 In 3.17
In: 0.7386 0.0000 0.3907  3 Te 2.99-3.14, 1 In 3.17
In: 0.7780 0.0000 0.1108  2 Te 3.06, 1 In 3.17
Te: 0.3494 0.0000 0.6380  2 In 2.99
Te: 0.4690 0.0000 0.2768  3 In 3.06-3.14
Te: 0.8494 0.5000 0.6380  2 In 2.99
Te: 0.9690 0.5000 0.2768  3 In 3.06-3.14

Summary:
ΔE_f (raw) (eV/atom): -0.610
E above lowest polymorph (eV per atom): 0.056
Calculated density (g cm⁻³): 4.4



[9]
Below is a relaxed CeCoH8Ir2 crystal, with properties calculated at the PBE-GGA level.

a = 5.8030 Å, b = 5.8030 Å, c = 5.8030 Å
α = 47.42°, β = 47.42°, γ = 47.42°
With the nearest neighbours (Å) after each atom.
Positions (direct):
Ce: 0.0000 0.0000 0.0000  18 H 2.70-2.71
Co: 0.5000 0.5000 0.5000  6 H 1.66
H: 0.1469 0.5560 0.5560  1 Co 1.66, 1 Ir 1.69
H: 0.3169 0.3169 0.3169  1 Ir 1.64
H: 0.4440 0.4440 0.8531  1 Co 1.66, 1 Ir 1.69
H: 0.4440 0.8531 0.4440  1 Co 1.66, 1 Ir 1.69
H: 0.5560 0.1469 0.5560  1 Co 1.66, 1 Ir 1.69
H: 0.5560 0.5560 0.1469  1 Co 1.66, 1 Ir 1.69
H: 0.6831 0.6831 0.6831  1 Ir 1.64
H: 0.8531 0.4440 0.4440  1 Co 1.66, 1 Ir 1.69
Ir: 0.2107 0.2107 0.2107  4 H 1.64-1.69
Ir: 0.7893 0.7893 0.7893  4 H 1.64-1.69

Summary:
Calculated density (g cm⁻³): 10.1
VASP energy (eV/cell): -59.5
DOS(E_F) (states/eV/f.u.): 6.9



[10]
Below is a relaxed ReAgTe2 crystal, with properties calculated at the PBE-GGA level.

a = 3.1544 Å, b = 3.1544 Å, c = 9.5933 Å
α = 90.00°, β = 90.00°, γ = 90.00°
With the nearest neighbours (Å) after each atom.
Positions (direct):
Re: 0.0000 0.0000 0.0000  4 Te 2.72, 4 Ag 2.96
Ag: 0.5000 0.5000 0.7964  4 Re 2.96, 4 Ag 3.15, 4 Te 3.21
Te: 0.0000 0.0000 0.5558  4 Te 3.15, 4 Ag 3.21
Te: 0.5000 0.5000 0.1620  4 Re 2.72

Summary:
ΔE_f (raw) (eV/atom): 0.458
E above lowest polymorph (eV per atom): 0.144
Calculated density (g cm⁻³): 9.6
DOS(E_F) (states/eV/f.u.): 3.7